# 1
Computed, not measured: Ni2AsP2 after structural relaxation at the PBE level of DFT.

Lattice parameters (Å, degrees): 3.931 3.931 8.989 90.00 90.00 90.00
Space group I4/mmm (No. 139)
Asymmetric unit:
Ni: 0.000 0.500 0.250 x4
As: 0.000 0.000 0.000 x2
P: 0.000 0.000 0.377 x4

Energy of formation from the pure elements   -0.06 eV per atom
Density   6.079 g cm⁻³

=====

# 2
Computed, not measured: NiAsP after structural relaxation at the PBE level of DFT.

Lattice parameters (Å, degrees): 7.994 3.381 4.226 90.00 98.92 90.00
Space group Cm (No. 8)
Asymmetric unit:
Ni: 0.000 0.000 0.000 x2
As: 0.206 0.500 0.844 x2
P: 0.077 0.000 0.513 x2

Energy of formation from the pure elements   -0.01 eV per atom
Density   4.843 g cm⁻³

=====

density of number 2 (NiAsP)?
4.843 g cm⁻³

=====

Look up the energy of formation from the pure elements of the first one.
-0.06 eV per atom

=====

The highest density belongs to which entry?
Ni2AsP2